[1]
Computed, not measured: a relaxed CdCoHg2 crystal at the PBE level of DFT.

Cell: 3.082 4.648 5.525 Å, 90.00 96.94 90.00°
Positions (direct):
Cd (0.000, 0.000, 0.000)
Co (0.500, 0.000, 0.500)
Hg (0.305, 0.500, 0.733)
Hg (0.695, 0.500, 0.267)

Summary:
Calculated formation energy, eV/atom: 0.414
M_tot, μB/f.u.: 1.4
Raw total energy, eV/f.u.: -6.97

=====

[2]
Computed, not measured: a relaxed CdCoHg2 crystal at the PBE level of DFT.

Cell: 5.148 5.148 3.071 Å, 90.00 90.00 108.48°
Positions (direct):
Cd (0.000, 0.000, 0.000)
Co (0.500, 0.500, 0.000)
Hg (0.000, 0.500, 0.500)
Hg (0.500, 0.000, 0.500)

Summary:
Calculated formation energy, eV/atom: 0.396
M_tot, μB/f.u.: 1.6
Raw total energy, eV/f.u.: -7.04

=====

[3]
Computed, not measured: a relaxed CdCoHg2 crystal at the PBE level of DFT.

Cell: 4.285 4.285 4.111 Å, 90.00 90.00 90.00°
Positions (direct):
Cd (0.000, 0.000, 0.000)
Co (0.500, 0.500, 0.000)
Hg (0.000, 0.500, 0.500)
Hg (0.500, 0.000, 0.500)

Summary:
Calculated formation energy, eV/atom: 0.372
M_tot, μB/f.u.: 1.3
Raw total energy, eV/f.u.: -7.14